Here is crystalline TmPaZnSi at its relaxed geometry from the Alexandria database. Energies are from PBE.

a = 6.980 Å, b = 6.980 Å, c = 6.980 Å
α = 90.00°, β = 90.00°, γ = 90.00°
Space group F-43m (No. 216)
Unique sites:
Tm: 0.000 0.000 0.000 (multiplicity 4)
Pa: 0.000 0.000 0.500 (multiplicity 4)
Zn: 0.250 0.250 0.750 (multiplicity 4)
Si: 0.250 0.250 0.250 (multiplicity 4)

For the uncorrected formation energy, the calculation gives -225 meV per atom. The value obtained for the total energy is -86.25 eV for the cell shown.


Here is crystalline Dy5Cu4Pt at its relaxed geometry from the Alexandria database. Energies are from PBE.

a = 3.460 Å, b = 3.460 Å, c = 17.564 Å
α = 90.00°, β = 90.00°, γ = 90.00°
Space group P4/mmm (No. 123)
Unique sites:
Dy: 0.000 0.000 0.000 (multiplicity 1)
Dy: 0.000 0.000 0.200 (multiplicity 2)
Dy: 0.000 0.000 0.401 (multiplicity 2)
Cu: 0.500 0.500 0.099 (multiplicity 2)
Cu: 0.500 0.500 0.298 (multiplicity 2)
Pt: 0.500 0.500 0.500 (multiplicity 1)

The value obtained for the total energy is -49.94 eV for the cell shown.


Here is crystalline CdHg3Ge at its relaxed geometry from the Alexandria database. Energies are from PBE.

a = 5.451 Å, b = 5.451 Å, c = 5.451 Å
α = 90.00°, β = 90.00°, γ = 90.00°
Space group Pm-3m (No. 221)
Unique sites:
Cd: 0.000 0.000 0.000 (multiplicity 1)
Hg: 0.000 0.000 0.500 (multiplicity 3)
Ge: 0.500 0.500 0.500 (multiplicity 1)

The value obtained for the total energy is -3.53 eV for the cell shown. As for the energy above the most stable polymorph in this dataset: 372 meV/atom.


Here is crystalline TaBi3I at its relaxed geometry from the Alexandria database. Energies are from PBE.

a = 5.530 Å, b = 5.530 Å, c = 5.530 Å
α = 90.00°, β = 90.00°, γ = 90.00°
Space group Pm-3m (No. 221)
Unique sites:
Ta: 0.000 0.000 0.000 (multiplicity 1)
Bi: 0.000 0.000 0.500 (multiplicity 3)
I: 0.500 0.500 0.500 (multiplicity 1)

For the uncorrected formation energy, the calculation gives 331 meV per atom. The value obtained for the total energy is -23.39 eV for the cell shown. As for the energy above the most stable polymorph in this dataset: 0 meV/atom.